An optimized crystal structure of HgMoP2, computed with PBE-GGA.

The structure belongs to space group R3m (No. 160, hexagonal axes); the cell edges are 3.1575, 3.1575 and 23.2591 Å and the angles 90.00°, 90.00° and 120.00°. The distinct sites, in fractional coordinates, are Hg at (0.0000, 0.0000, 0.0000), Mo at (0.0000, 0.0000, 0.7671), P at (0.0000, 0.0000, 0.2385) and P at (0.0000, 0.0000, 0.5056).

The value obtained for the total energy is -5.146 eV per atom. As for the excess energy over the best structure of this formula in the dataset: 397 meV/atom. The value obtained for the formation energy is 1.37 eV/f.u. The calculation puts the density of states at the Fermi level at 4.7 states/eV/f.u.

An optimized crystal structure of HgMoP2, computed with PBE-GGA.

The structure belongs to space group Cmm2 (No. 35); the cell edges are 3.2688, 4.9476 and 8.4157 Å and the angles 90.00°, 90.00° and 90.00°. The distinct sites, in fractional coordinates, are Hg at (0.0000, 0.0000, 0.0000), Mo at (0.0000, 0.5000, 0.7096), P at (0.0000, 0.0000, 0.5056) and P at (0.0000, 0.5000, 0.2748).

The value obtained for the total energy is -4.961 eV per atom. As for the excess energy over the best structure of this formula in the dataset: 582 meV/atom. The value obtained for the formation energy is 2.11 eV/f.u. The calculation puts the density of states at the Fermi level at 1.9 states/eV/f.u.

An optimized crystal structure of HgMoP, computed with PBE-GGA.

The structure belongs to space group I4mm (No. 107); the cell edges are 3.1928, 3.1928 and 10.3463 Å and the angles 90.00°, 90.00° and 90.00°. The distinct sites, in fractional coordinates, are Hg at (0.0000, 0.0000, 0.0000), Mo at (0.0000, 0.0000, 0.2977) and P at (0.0000, 0.0000, 0.7056).

The value obtained for the total energy is -5.403 eV per atom. As for the excess energy over the best structure of this formula in the dataset: 0 meV/atom. The value obtained for the formation energy is 0.33 eV/f.u. The calculation puts the density of states at the Fermi level at 3.4 states/eV/f.u.

An optimized crystal structure of HgMo2P, computed with PBE-GGA.

The structure belongs to space group R-3m (No. 166, hexagonal axes); the cell edges are 3.5345, 3.5345 and 19.7747 Å and the angles 90.00°, 90.00° and 120.00°. The distinct sites, in fractional coordinates, are Hg at (0.0000, 0.0000, 0.0000), Mo at (0.0000, 0.0000, 0.2251) and P at (0.0000, 0.0000, 0.5000).

The value obtained for the total energy is -6.726 eV per atom. As for the excess energy over the best structure of this formula in the dataset: 82 meV/atom. The value obtained for the formation energy is 0.47 eV/f.u. The calculation puts the density of states at the Fermi level at 3.9 states/eV/f.u.

An optimized crystal structure of HgMo2P, computed with PBE-GGA.

The structure belongs to space group C2/m (No. 12); the cell edges are 5.6177, 8.6378 and 2.8951 Å and the angles 90.00°, 109.44° and 90.00°. The distinct sites, in fractional coordinates, are Hg at (0.0000, 0.0000, 0.0000), Mo at (0.2500, 0.2500, 0.5000) and P at (0.0000, 0.5000, 0.0000).

The value obtained for the total energy is -6.239 eV per atom. As for the excess energy over the best structure of this formula in the dataset: 568 meV/atom. The value obtained for the formation energy is 2.42 eV/f.u. The calculation puts the density of states at the Fermi level at 3.1 states/eV/f.u.

An optimized crystal structure of HgMo2P, computed with PBE-GGA.

The structure belongs to space group Fm-3m (No. 225); the cell edges are 6.3350, 6.3350 and 6.3350 Å and the angles 90.00°, 90.00° and 90.00°. The distinct sites, in fractional coordinates, are Hg at (0.0000, 0.0000, 0.0000), Mo at (0.2500, 0.2500, 0.2500) and P at (0.0000, 0.0000, 0.5000).

The value obtained for the total energy is -6.366 eV per atom. As for the excess energy over the best structure of this formula in the dataset: 441 meV/atom. The value obtained for the formation energy is 1.91 eV/f.u. The calculation puts the density of states at the Fermi level at 2.9 states/eV/f.u.

An optimized crystal structure of Hg2MoP, computed with PBE-GGA.

The structure belongs to space group R-3m (No. 166, hexagonal axes); the cell edges are 3.0672, 3.0672 and 27.9957 Å and the angles 90.00°, 90.00° and 120.00°. The distinct sites, in fractional coordinates, are Hg at (0.0000, 0.0000, 0.2505), Mo at (0.0000, 0.0000, 0.0000) and P at (0.0000, 0.0000, 0.5000).

The value obtained for the total energy is -3.473 eV per atom. As for the excess energy over the best structure of this formula in the dataset: 647 meV/atom. The value obtained for the formation energy is 2.95 eV/f.u. The calculation puts the density of states at the Fermi level at 2.8 states/eV/f.u.

An optimized crystal structure of HgMoP2, computed with PBE-GGA.

The structure belongs to space group P4mm (No. 99); the cell edges are 3.3124, 3.3124 and 7.2516 Å and the angles 90.00°, 90.00° and 90.00°. The distinct sites, in fractional coordinates, are Hg at (0.0000, 0.0000, 0.0000), Mo at (0.5000, 0.5000, 0.4632), P at (0.0000, 0.0000, 0.3556) and P at (0.5000, 0.5000, 0.7691).

The value obtained for the total energy is -5.320 eV per atom. As for the excess energy over the best structure of this formula in the dataset: 223 meV/atom. The value obtained for the formation energy is 0.67 eV/f.u. The calculation puts the density of states at the Fermi level at 1.8 states/eV/f.u.

An optimized crystal structure of HgMo2P, computed with PBE-GGA.

The structure belongs to space group P4/mmm (No. 123); the cell edges are 4.5345, 4.5345 and 3.0996 Å and the angles 90.00°, 90.00° and 90.00°. The distinct sites, in fractional coordinates, are Hg at (0.0000, 0.0000, 0.0000), Mo at (0.0000, 0.5000, 0.5000) and P at (0.5000, 0.5000, 0.0000).

The value obtained for the total energy is -6.365 eV per atom. As for the excess energy over the best structure of this formula in the dataset: 442 meV/atom. The value obtained for the formation energy is 1.91 eV/f.u. The calculation puts the density of states at the Fermi level at 3.8 states/eV/f.u.

An optimized crystal structure of HgMo2P, computed with PBE-GGA.

The structure belongs to space group F-43m (No. 216); the cell edges are 6.4573, 6.4573 and 6.4573 Å and the angles 90.00°, 90.00° and 90.00°. The distinct sites, in fractional coordinates, are Hg at (0.0000, 0.0000, 0.0000), Mo at (0.0000, 0.0000, 0.5000), Mo at (0.2500, 0.2500, 0.2500) and P at (0.2500, 0.2500, 0.7500).

The value obtained for the total energy is -6.117 eV per atom. As for the excess energy over the best structure of this formula in the dataset: 690 meV/atom. The value obtained for the formation energy is 2.91 eV/f.u. The calculation puts the density of states at the Fermi level at 3.7 states/eV/f.u.

An optimized crystal structure of Hg2MoP, computed with PBE-GGA.

The structure belongs to space group Fmm2 (No. 42); the cell edges are 3.1006, 14.6797 and 8.2783 Å and the angles 90.00°, 90.00° and 90.00°. The distinct sites, in fractional coordinates, are Hg at (0.0000, 0.1643, 0.0000), Mo at (0.0000, 0.0000, 0.5571) and P at (0.0000, 0.0000, 0.2669).

The value obtained for the total energy is -4.052 eV per atom. As for the excess energy over the best structure of this formula in the dataset: 67 meV/atom. The value obtained for the formation energy is 0.64 eV/f.u. The calculation puts the density of states at the Fermi level at 1.4 states/eV/f.u.

An optimized crystal structure of Hg2MoP, computed with PBE-GGA.

The structure belongs to space group I-42d (No. 122); the cell edges are 8.4921, 8.4921 and 4.8340 Å and the angles 90.00°, 90.00° and 90.00°. The distinct sites, in fractional coordinates, are Hg at (0.1744, 0.2500, 0.1250), Mo at (0.0000, 0.0000, 0.5000) and P at (0.0000, 0.0000, 0.0000).

The value obtained for the total energy is -3.484 eV per atom. As for the excess energy over the best structure of this formula in the dataset: 635 meV/atom. The value obtained for the formation energy is 2.91 eV/f.u. The calculation puts the density of states at the Fermi level at 2.9 states/eV/f.u.